# 1
## ScNiS2N (PBE)

Data for crystalline ScNiS2N at its relaxed geometry.

Summary:
E_form (uncorrected)   0.582 eV/atom
Energy above the most stable polymorph in this dataset   0.7904 eV/atom

Cell: 4.900 4.900 4.010 Å, 90.00 90.00 90.00°
Space group P4/mmm (No. 123)
Inequivalent atoms, fractional coordinates:
1 Sc 0.000 0.000 0.000
2 Ni 0.500 0.500 0.500
3 S 0.000 0.500 0.000
4 N 0.000 0.000 0.500

=====

# 2
## NaCd2Pt2 (PBE)

Data for crystalline NaCd2Pt2 at its relaxed geometry.

Summary:
Energy of formation from the pure elements   -159 meV/atom
Energy above the most stable polymorph in this dataset   0.1698 eV/atom

Cell: 4.123 4.123 25.357 Å, 90.00 90.00 90.00°
Space group I4/mmm (No. 139)
Inequivalent atoms, fractional coordinates:
1 Na 0.000 0.000 0.121
2 Cd 0.000 0.000 0.323
3 Cd 0.000 0.500 0.000
4 Pt 0.000 0.000 0.428
5 Pt 0.000 0.500 0.250

=====

# 3
## Ba4Hg3Bi2 (PBE)

Data for crystalline Ba4Hg3Bi2 at its relaxed geometry.

Summary:
Energy of formation from the pure elements   -672 meV/atom

Cell: 9.684 5.594 13.197 Å, 90.00 90.19 90.00°
Space group C2/m (No. 12)
Inequivalent atoms, fractional coordinates:
1 Ba 0.002 0.000 0.348
2 Ba 0.166 0.500 0.894
3 Hg 0.000 0.000 0.000
4 Hg 0.167 0.500 0.497
5 Bi 0.168 0.500 0.206

=====

# 4
## HgRu3 (PBE)

Data for crystalline HgRu3 at its relaxed geometry.

Summary:
Energy of formation from the pure elements   807 meV/atom

Cell: 8.9576 8.9576 2.7627 Å, 90.00 90.00 120.00°
Space group R-3m (No. 166, hexagonal axes)
Inequivalent atoms, fractional coordinates:
1 Hg 0.0000 0.0000 0.0000
2 Ru 0.0000 0.5000 0.0000

=====

# 5
## CoRe2Cl (PBE)

Data for crystalline CoRe2Cl at its relaxed geometry.

Summary:
E_form (uncorrected)   1.013 eV/atom
Energy above the most stable polymorph in this dataset   0.6449 eV/atom

Cell: 2.776 4.548 4.655 Å, 90.00 90.00 90.00°
Space group Pmmm (No. 47)
Inequivalent atoms, fractional coordinates:
1 Co 0.000 0.000 0.000
2 Re 0.000 0.500 0.500
3 Re 0.500 0.500 0.000
4 Cl 0.500 0.000 0.500

=====

# 6
## Np2Ga8Au (PBE)

Data for crystalline Np2Ga8Au at its relaxed geometry.

Summary:
Energy of formation from the pure elements   -211 meV/atom

Cell: 4.352 4.352 11.282 Å, 90.00 90.00 90.00°
Space group P4/mmm (No. 123)
Inequivalent atoms, fractional coordinates:
1 Np 0.000 0.000 0.187
2 Ga 0.000 0.500 0.000
3 Ga 0.000 0.500 0.364
4 Ga 0.500 0.500 0.187
5 Au 0.000 0.000 0.500

=====

# 7
## LuTlHg2 (PBE)

Data for crystalline LuTlHg2 at its relaxed geometry.

Summary:
Energy of formation from the pure elements   -218 meV/atom

Cell: 4.861 4.861 4.194 Å, 90.00 90.00 90.00°
Space group P4/mmm (No. 123)
Inequivalent atoms, fractional coordinates:
1 Lu 0.000 0.000 0.000
2 Tl 0.500 0.500 0.000
3 Hg 0.000 0.500 0.500

=====

# 8
## LiCeMgPb (PBE)

Data for crystalline LiCeMgPb at its relaxed geometry.

Summary:
Energy of formation from the pure elements   -187 meV/atom

Cell: 7.453 7.453 7.453 Å, 90.00 90.00 90.00°
Space group F-43m (No. 216)
Inequivalent atoms, fractional coordinates:
1 Li 0.000 0.000 0.000
2 Ce 0.000 0.000 0.500
3 Mg 0.250 0.250 0.750
4 Pb 0.250 0.250 0.250

=====

# 9
## TiVRu2 (PBE)

Data for crystalline TiVRu2 at its relaxed geometry.

Summary:
Energy of formation from the pure elements   165 meV/atom

Cell: 6.683 6.683 5.524 Å, 90.00 90.00 90.00°
Space group I-42d (No. 122)
Inequivalent atoms, fractional coordinates:
1 Ti 0.000 0.000 0.000
2 V 0.000 0.000 0.500
3 Ru 0.229 0.250 0.625

=====

Copy entry 8 word for word.
## LiCeMgPb (PBE)

Data for crystalline LiCeMgPb at its relaxed geometry.

Summary:
Energy of formation from the pure elements   -187 meV/atom

Cell: 7.453 7.453 7.453 Å, 90.00 90.00 90.00°
Space group F-43m (No. 216)
Inequivalent atoms, fractional coordinates:
1 Li 0.000 0.000 0.000
2 Ce 0.000 0.000 0.500
3 Mg 0.250 0.250 0.750
4 Pb 0.250 0.250 0.250